Below is a relaxed structure of TlZnTc2, with properties calculated at the GGA-PBE level.

```
data_TlZnTc2
_cell_length_a 3.985
_cell_length_b 3.985
_cell_length_c 4.203
_cell_angle_alpha 90.00
_cell_angle_beta 90.00
_cell_angle_gamma 90.00
_space_group_name_H-M_alt 'P 4/m m m'
_space_group_IT_number 123
_space_group_name_Hall '-P 4 2'
loop_
_atom_site_label
_atom_site_fract_x
_atom_site_fract_y
_atom_site_fract_z
Tl1 0.000 0.000 0.000
Zn1 0.500 0.500 0.000
Tc1 0.000 0.500 0.500
```

Properties
- Crystal system: tetragonal
- Total magnetic moment: 2.554 Bohr magnetons per cell
- E_form: 650 meV per atom
- Uncorrected energy: -5.4429 eV/atom